This record from Alexandria via LeMat-Bulk describes CoCuBr2F after structural relaxation. The functional is PBE+U. Values from VASP.

```
&SYSTEM
  ibrav = 0, nat = 5, ntyp = 4
/
ATOMIC_SPECIES
Co 58.93 Co.upf
Cu 63.55 Cu.upf
Br 79.90 Br.upf
F 19.00 F.upf
CELL_PARAMETERS angstrom
5.5091 0.0000 0.0000
0.0000 3.5971 0.0000
0.0000 0.0000 5.5091
ATOMIC_POSITIONS crystal
Co 0.5000 0.5000 0.5000
Cu 0.0000 0.5000 0.0000
Br 0.0000 0.0000 0.5000
Br 0.5000 0.0000 0.0000
F 0.0000 0.0000 0.0000
```

Summary:
density of states at the Fermi level	6.57	states/eV per cell
E	-2.801	eV/atom